# KSr2Bi

Crystalline KSr2Bi at its relaxed geometry (GGA-PBE, the Alexandria database).

Calculated values
**SG**: R-3m
**Mass density**: 2.76 Mg/m³
**DFT formation energy**: -0.3754 eV per atom

a = 12.6547 Å, b = 12.6547 Å, c = 12.6547 Å
α = 22.25°, β = 22.25°, γ = 22.25°
Fractional coordinates of all 4 atoms:
K 0.0000 0.0000 0.0000
Sr 0.1195 0.1195 0.1195
Sr 0.8805 0.8805 0.8805
Bi 0.5000 0.5000 0.5000